# 1
# BaMnAg2Cl8, relaxed, DFT GGA-PBE
# - Formation energy from raw total energies: -1.103 eV/atom
data_BaMnAg2Cl8
_space_group_name_H-M_alt 'P -1'
_space_group_IT_number 2
_cell_length_a 6.3122
_cell_length_b 7.0460
_cell_length_c 8.5826
_cell_angle_alpha 68.55
_cell_angle_beta 89.98
_cell_angle_gamma 83.35
loop_
_space_group_symop_operation_xyz
'x,y,z'
'-x,-y,-z'
loop_
_atom_site_label
_atom_site_type_symbol
_atom_site_fract_x
_atom_site_fract_y
_atom_site_fract_z
Ba1 Ba 0.0000 0.0000 0.0000
Mn1 Mn 0.0000 0.0000 0.5000
Ag1 Ag 0.4901 0.3304 0.2130
Cl1 Cl 0.0869 0.2383 0.2433
Cl2 Cl 0.1617 0.1720 0.6363
Cl3 Cl 0.3116 0.7959 0.5082
Cl4 Cl 0.4437 0.7332 0.0637

=====

# 2
# NiSe3, relaxed, DFT GGA-PBE
# - Density of states at the Fermi level: 0.908 states/eV per atom
# - Formation energy from raw total energies: 0.547 eV/atom
data_NiSe3
_space_group_name_H-M_alt 'P 4/m m m'
_space_group_IT_number 123
_space_group_name_Hall '-P 4 2'
_cell_length_a 4.7705
_cell_length_b 4.7705
_cell_length_c 3.1116
_cell_angle_alpha 90.00
_cell_angle_beta 90.00
_cell_angle_gamma 90.00
loop_
_atom_site_label
_atom_site_type_symbol
_atom_site_fract_x
_atom_site_fract_y
_atom_site_fract_z
Ni1 Ni 0.0000 0.0000 0.0000
Se1 Se 0.0000 0.5000 0.5000
Se2 Se 0.5000 0.5000 0.0000